! TiZnPt2O | Alexandria | GGA-PBEsol | relaxed; values from VASP
&SYSTEM
  ibrav = 0, nat = 5, ntyp = 4
/
ATOMIC_SPECIES
Ti 47.87 Ti.upf
Zn 65.41 Zn.upf
Pt 195.08 Pt.upf
O 16.00 O.upf
CELL_PARAMETERS angstrom
4.370 0.000 0.000
0.000 4.370 0.000
0.000 0.000 3.756
ATOMIC_POSITIONS crystal
Ti 0.000 0.000 0.000
Zn 0.500 0.500 0.000
Pt 0.000 0.500 0.500
Pt 0.500 0.000 0.500
O 0.000 0.000 0.500
! density of states at the Fermi level	0.985	states/eV per atom
! total magnetic moment	0.011	μB per formula unit
! symmetry	No. 123
! formation energy from raw total energies	-390	meV per atom

=====

! Ta2CrPt | Alexandria | GGA-PBEsol | relaxed; values from VASP
&SYSTEM
  ibrav = 0, nat = 4, ntyp = 3
/
ATOMIC_SPECIES
Ta 180.95 Ta.upf
Cr 52.00 Cr.upf
Pt 195.08 Pt.upf
CELL_PARAMETERS angstrom
4.531 -1.362 0.000
4.531 1.362 0.000
-0.457 0.000 5.052
ATOMIC_POSITIONS crystal
Ta 0.241 0.241 0.256
Ta 0.759 0.759 0.744
Cr 0.000 0.000 0.500
Pt 0.500 0.500 0.000
! density of states at the Fermi level	1.048	states/eV per atom
! total magnetic moment	0.001	μB per formula unit
! symmetry	No. 12
! formation energy	0.025	eV/atom

=====

! Sr2AsBr | Alexandria | GGA-PBEsol | relaxed; values from VASP
&SYSTEM
  ibrav = 0, nat = 4, ntyp = 3
/
ATOMIC_SPECIES
Sr 87.62 Sr.upf
As 74.92 As.upf
Br 79.90 Br.upf
CELL_PARAMETERS angstrom
2.183 1.260 7.861
-2.183 1.260 7.861
0.000 -2.521 7.861
ATOMIC_POSITIONS crystal
Sr 0.000 0.000 0.000
Sr 0.146 0.146 0.146
As 0.407 0.407 0.407
Br 0.577 0.577 0.577
! total magnetic moment	0.000	μB per formula unit
! symmetry	No. 160
! formation energy from raw total energies	-1440	meV per atom

=====

! K3HgF | Alexandria | GGA-PBEsol | relaxed; values from VASP
&SYSTEM
  ibrav = 0, nat = 5, ntyp = 3
/
ATOMIC_SPECIES
K 39.10 K.upf
Hg 200.59 Hg.upf
F 19.00 F.upf
CELL_PARAMETERS angstrom
5.360 0.000 0.000
0.000 5.360 0.000
0.000 0.000 5.360
ATOMIC_POSITIONS crystal
K 0.000 0.000 0.500
K 0.000 0.500 0.000
K 0.500 0.000 0.000
Hg 0.500 0.500 0.500
F 0.000 0.000 0.000
! density of states at the Fermi level	0.597	states/eV per atom
! total magnetic moment	0.000	μB per formula unit
! symmetry	No. 221
! formation energy from raw total energies	-1107	meV per atom

=====

! ZrCr2Os | Alexandria | GGA-PBEsol | relaxed; values from VASP
&SYSTEM
  ibrav = 0, nat = 4, ntyp = 3
/
ATOMIC_SPECIES
Zr 91.22 Zr.upf
Cr 52.00 Cr.upf
Os 190.23 Os.upf
CELL_PARAMETERS angstrom
2.987 0.000 0.000
0.000 2.987 0.000
0.000 0.000 6.362
ATOMIC_POSITIONS crystal
Zr 0.000 0.000 0.000
Cr 0.000 0.000 0.477
Cr 0.500 0.500 0.274
Os 0.500 0.500 0.710
! density of states at the Fermi level	0.754	states/eV per atom
! total magnetic moment	0.001	μB per formula unit
! ΔE to the lowest computed polymorph	0.0	meV/atom
! symmetry	No. 99
! formation energy	0.070	eV/atom

=====

! TlSiTe | Alexandria | GGA-PBEsol | relaxed; values from VASP
&SYSTEM
  ibrav = 0, nat = 3, ntyp = 3
/
ATOMIC_SPECIES
Tl 204.38 Tl.upf
Si 28.09 Si.upf
Te 127.60 Te.upf
CELL_PARAMETERS angstrom
-1.815 1.815 5.855
1.815 -1.815 5.855
1.815 1.815 -5.855
ATOMIC_POSITIONS crystal
Tl 0.000 0.000 0.000
Si 0.680 0.680 0.000
Te 0.280 0.280 0.000
! density of states at the Fermi level	0.265	states/eV per atom
! total magnetic moment	0.000	μB per formula unit
! ΔE to the lowest computed polymorph	0.0	meV/atom
! symmetry	No. 107
! formation energy from raw total energies	166	meV per atom

=====

! K2CaAgTe | Alexandria | GGA-PBEsol | relaxed; values from VASP
&SYSTEM
  ibrav = 0, nat = 5, ntyp = 4
/
ATOMIC_SPECIES
K 39.10 K.upf
Ca 40.08 Ca.upf
Ag 107.87 Ag.upf
Te 127.60 Te.upf
CELL_PARAMETERS angstrom
6.618 0.000 0.000
0.000 6.618 0.000
0.000 0.000 5.282
ATOMIC_POSITIONS crystal
K 0.000 0.500 0.000
K 0.500 0.000 0.000
Ca 0.000 0.000 0.000
Ag 0.000 0.000 0.500
Te 0.500 0.500 0.500
! density of states at the Fermi level	0.292	states/eV per atom
! total magnetic moment	0.000	μB per formula unit
! symmetry	No. 123
! formation energy from raw total energies	359	meV per atom

=====

! Mg2ZnPb | Alexandria | GGA-PBEsol | relaxed; values from VASP
&SYSTEM
  ibrav = 0, nat = 4, ntyp = 3
/
ATOMIC_SPECIES
Mg 24.30 Mg.upf
Zn 65.41 Zn.upf
Pb 207.20 Pb.upf
CELL_PARAMETERS angstrom
3.261 0.000 0.000
0.000 3.261 0.000
0.000 0.000 8.054
ATOMIC_POSITIONS crystal
Mg 0.000 0.000 0.206
Mg 0.000 0.000 0.794
Zn 0.500 0.500 0.000
Pb 0.500 0.500 0.500
! density of states at the Fermi level	0.371	states/eV per atom
! total magnetic moment	0.000	μB per formula unit
! symmetry	No. 123
! formation energy	-0.053	eV/atom

=====

! Co7As | Alexandria | GGA-PBEsol | relaxed; values from VASP
&SYSTEM
  ibrav = 0, nat = 8, ntyp = 2
/
ATOMIC_SPECIES
Co 58.93 Co.upf
As 74.92 As.upf
CELL_PARAMETERS angstrom
0.000 3.484 3.484
3.484 0.000 3.484
3.484 3.484 0.000
ATOMIC_POSITIONS crystal
Co 0.000 0.000 0.000
Co 0.000 0.000 0.500
Co 0.000 0.500 0.000
Co 0.000 0.500 0.500
Co 0.500 0.000 0.000
Co 0.500 0.000 0.500
Co 0.500 0.500 0.000
As 0.500 0.500 0.500
! density of states at the Fermi level	1.376	states/eV per atom
! total magnetic moment	8.672	μB per formula unit
! symmetry	No. 225
! formation energy	0.006	eV/atom

=====

! BeSiPt | Alexandria | GGA-PBEsol | relaxed; values from VASP
&SYSTEM
  ibrav = 0, nat = 3, ntyp = 3
/
ATOMIC_SPECIES
Be 9.01 Be.upf
Si 28.09 Si.upf
Pt 195.08 Pt.upf
CELL_PARAMETERS angstrom
0.000 2.771 2.771
2.771 0.000 2.771
2.771 2.771 0.000
ATOMIC_POSITIONS crystal
Be 0.000 0.000 0.000
Si 0.500 0.500 0.500
Pt 0.250 0.250 0.250
! density of states at the Fermi level	0.407	states/eV per atom
! total magnetic moment	0.000	μB per formula unit
! ΔE to the lowest computed polymorph	0.0	meV/atom
! symmetry	No. 216
! formation energy from raw total energies	-512	meV per atom

=====

! YIr3 | Alexandria | GGA-PBEsol | relaxed; values from VASP
&SYSTEM
  ibrav = 0, nat = 4, ntyp = 2
/
ATOMIC_SPECIES
Y 88.91 Y.upf
Ir 192.22 Ir.upf
CELL_PARAMETERS angstrom
2.851 -3.876 0.000
2.851 3.876 0.000
0.000 0.000 2.876
ATOMIC_POSITIONS crystal
Y 0.000 0.000 0.000
Ir 0.000 0.500 0.500
Ir 0.500 0.000 0.500
Ir 0.500 0.500 0.000
! density of states at the Fermi level	0.657	states/eV per atom
! total magnetic moment	0.000	μB per formula unit
! symmetry	No. 65
! formation energy	-0.271	eV/atom

=====

! Ta2IrPt | Alexandria | GGA-PBEsol | relaxed; values from VASP
&SYSTEM
  ibrav = 0, nat = 4, ntyp = 3
/
ATOMIC_SPECIES
Ta 180.95 Ta.upf
Ir 192.22 Ir.upf
Pt 195.08 Pt.upf
CELL_PARAMETERS angstrom
-1.962 1.962 4.116
1.962 -1.962 4.116
1.962 1.962 -4.116
ATOMIC_POSITIONS crystal
Ta 0.000 0.000 0.000
Ta 0.750 0.250 0.500
Ir 0.250 0.750 0.500
Pt 0.500 0.500 0.000
! density of states at the Fermi level	0.854	states/eV per atom
! total magnetic moment	0.000	μB per formula unit
! symmetry	No. 119
! formation energy	-0.502	eV/atom

=====

Question: Look up the total magnetic moment of the third one.
Answer: 0.000 μB per formula unit

=====

Repeat the second record exactly.
! Ta2CrPt | Alexandria | GGA-PBEsol | relaxed; values from VASP
&SYSTEM
  ibrav = 0, nat = 4, ntyp = 3
/
ATOMIC_SPECIES
Ta 180.95 Ta.upf
Cr 52.00 Cr.upf
Pt 195.08 Pt.upf
CELL_PARAMETERS angstrom
4.531 -1.362 0.000
4.531 1.362 0.000
-0.457 0.000 5.052
ATOMIC_POSITIONS crystal
Ta 0.241 0.241 0.256
Ta 0.759 0.759 0.744
Cr 0.000 0.000 0.500
Pt 0.500 0.500 0.000
! density of states at the Fermi level	1.048	states/eV per atom
! total magnetic moment	0.001	μB per formula unit
! symmetry	No. 12
! formation energy	0.025	eV/atom

=====

Question: What is the total magnetic moment in the fourth record?
Answer: 0.000 μB per formula unit

=====

Please write out number 11 again, unchanged.
! YIr3 | Alexandria | GGA-PBEsol | relaxed; values from VASP
&SYSTEM
  ibrav = 0, nat = 4, ntyp = 2
/
ATOMIC_SPECIES
Y 88.91 Y.upf
Ir 192.22 Ir.upf
CELL_PARAMETERS angstrom
2.851 -3.876 0.000
2.851 3.876 0.000
0.000 0.000 2.876
ATOMIC_POSITIONS crystal
Y 0.000 0.000 0.000
Ir 0.000 0.500 0.500
Ir 0.500 0.000 0.500
Ir 0.500 0.500 0.000
! density of states at the Fermi level	0.657	states/eV per atom
! total magnetic moment	0.000	μB per formula unit
! symmetry	No. 65
! formation energy	-0.271	eV/atom